[1]
Compound: SmYB4
Source: OQMD via LeMat-Bulk
Functional: PBE
Structure: relaxed

Structure (POSCAR):
```
SmYB4
1.0
-1.658 2.871 3.949
1.658 -2.871 3.949
1.658 2.871 -3.949
B Y Sm
4 1 1
Direct
0.584 0.251 0.333
0.416 0.749 0.667
0.917 0.251 0.667
0.083 0.749 0.333
0.000 0.000 0.000
0.500 0.500 0.000
```

Results
The value obtained for the total magnetization is 0.00 μB per atom. The calculated volume is 12.53 Å³ per atom. The value obtained for the total energy is -6.78 eV/atom. The crystal system is orthorhombic. The offset from the most stable computed form is 0.0083 eV/atom.

[2]
Compound: Sm2Y2B3
Source: OQMD via LeMat-Bulk
Functional: PBE
Structure: relaxed

Structure (POSCAR):
```
Sm2Y2B3
1.0
1.613 -14.112 0.000
1.613 14.112 0.000
0.000 0.000 3.553
Y Sm B
2 2 3
Direct
0.192 0.808 0.500
0.808 0.192 0.500
0.589 0.411 0.000
0.411 0.589 0.000
0.739 0.261 0.000
0.500 0.500 0.000
0.261 0.739 0.000
```

Results
The value obtained for the total magnetization is 0.07 μB per atom. The calculated volume is 23.11 Å³ per atom. The value obtained for the total energy is -5.67 eV/atom. The crystal system is orthorhombic.

[3]
Compound: SmZnB4
Source: OQMD via LeMat-Bulk
Functional: PBE
Structure: relaxed

Structure (POSCAR):
```
SmZnB4
1.0
-1.593 2.648 4.071
1.593 -2.648 4.071
1.593 2.648 -4.071
B Zn Sm
4 1 1
Direct
0.418 0.741 0.676
0.935 0.259 0.676
0.065 0.741 0.324
0.582 0.259 0.324
0.500 0.500 0.000
0.000 0.000 0.000
```

Results
The value obtained for the total magnetization is 0.00 μB per atom. The calculated volume is 11.45 Å³ per atom. The value obtained for the total energy is -5.50 eV/atom. The crystal system is orthorhombic. The offset from the most stable computed form is 0.0000 eV/atom.

[4]
Compound: SmZnB4
Source: OQMD via LeMat-Bulk
Functional: PBE
Structure: relaxed

Structure (POSCAR):
```
SmZnB4
1.0
3.185 0.000 0.000
-1.592 2.758 0.000
0.000 0.000 7.332
Zn B Sm
1 4 1
Direct
0.000 0.000 0.000
0.333 0.667 0.221
0.667 0.333 0.779
0.333 0.667 0.779
0.667 0.333 0.221
0.000 0.000 0.500
```

Results
The value obtained for the total magnetization is 0.00 μB per atom. The calculated volume is 10.73 Å³ per atom. The value obtained for the total energy is -5.43 eV/atom. The crystal system is hexagonal. The offset from the most stable computed form is 0.0725 eV/atom.

[5]
Compound: SmZrB4
Source: OQMD via LeMat-Bulk
Functional: PBE
Structure: relaxed

Structure (POSCAR):
```
SmZrB4
1.0
-1.523 -1.079 2.642
-1.490 -0.077 -2.871
2.778 -6.989 -1.253
Zr B Sm
1 4 1
Direct
0.000 0.000 0.500
0.333 0.667 0.729
0.667 0.333 0.271
0.667 0.333 0.729
0.333 0.667 0.271
0.000 0.000 0.000
```

Results
The value obtained for the total magnetization is 0.00 μB per atom. The calculated volume is 11.52 Å³ per atom. The value obtained for the total energy is -7.37 eV/atom. The crystal system is hexagonal.

[6]
Compound: SmZrB
Source: OQMD via LeMat-Bulk
Functional: PBE
Structure: relaxed

Structure (POSCAR):
```
SmZrB
1.0
0.000 3.213 3.213
3.213 0.000 3.213
3.213 3.213 0.000
Sm Zr B
1 1 1
Direct
0.000 0.000 0.000
0.750 0.750 0.750
0.250 0.250 0.250
```

Results
The value obtained for the total magnetization is 0.60 μB per atom. The calculated volume is 22.11 Å³ per atom. The value obtained for the total energy is -5.11 eV/atom. The crystal system is cubic. The offset from the most stable computed form is 1.3926 eV/atom.

[7]
Compound: SmZrB
Source: OQMD via LeMat-Bulk
Functional: PBE
Structure: relaxed

Structure (POSCAR):
```
SmZrB
1.0
0.000 3.115 3.115
3.115 0.000 3.115
3.115 3.115 0.000
B Zr Sm
1 1 1
Direct
0.000 0.000 0.000
0.750 0.750 0.750
0.250 0.250 0.250
```

Results
The value obtained for the total magnetization is 0.00 μB per atom. The calculated volume is 20.16 Å³ per atom. The value obtained for the total energy is -6.50 eV/atom. The crystal system is cubic. The offset from the most stable computed form is 0.0000 eV/atom.

[8]
Compound: TaSnB4
Source: OQMD via LeMat-Bulk
Functional: PBE
Structure: relaxed

Structure (POSCAR):
```
TaSnB4
1.0
3.058 0.000 0.000
-1.529 2.648 0.000
0.000 0.000 8.667
B Sn Ta
4 1 1
Direct
0.333 0.667 0.309
0.667 0.333 0.309
0.667 0.333 0.691
0.333 0.667 0.691
0.000 0.000 0.000
0.000 0.000 0.500
```

Results
The value obtained for the total magnetization is 0.00 μB per atom. The calculated volume is 11.70 Å³ per atom. The value obtained for the total energy is -7.19 eV/atom. The crystal system is hexagonal. The offset from the most stable computed form is 0.0000 eV/atom.